1.
# NaV3Zn | the Alexandria database | PBE | relaxed
# VASP energy = -23.08 eV per formula unit
# DFT formation energy = 1.37 eV/atom
# Magnetization = 8.89 μB per cell
data_NaV3Zn
_chemical_formula_sum 'Na1 V3 Zn1'
_space_group_name_H-M_alt 'P m -3 m'
_space_group_IT_number 221
_space_group_name_Hall '-P 4 2 3'
_cell_length_a 4.8235
_cell_length_b 4.8235
_cell_length_c 4.8235
_cell_angle_alpha 90.00
_cell_angle_beta 90.00
_cell_angle_gamma 90.00
loop_
_atom_site_label
_atom_site_fract_x
_atom_site_fract_y
_atom_site_fract_z
Na1 0.0000 0.0000 0.0000
V1 0.0000 0.5000 0.5000
Zn1 0.5000 0.5000 0.5000

2.
# PdCO2F | the Alexandria database | PBE | relaxed
# VASP energy = -21.95 eV per formula unit
# Magnetization = 0.00 μB per cell
# Uncorrected formation energy = 0.8508 eV per atom
data_PdCO2F
_chemical_formula_sum 'Pd1 C1 O2 F1'
_space_group_name_H-M_alt 'P 4/m m m'
_space_group_IT_number 123
_space_group_name_Hall '-P 4 2'
_cell_length_a 3.6348
_cell_length_b 3.6348
_cell_length_c 3.4758
_cell_angle_alpha 90.00
_cell_angle_beta 90.00
_cell_angle_gamma 90.00
loop_
_atom_site_label
_atom_site_fract_x
_atom_site_fract_y
_atom_site_fract_z
Pd1 0.0000 0.0000 0.0000
C1 0.5000 0.5000 0.5000
O1 0.0000 0.5000 0.5000
F1 0.5000 0.5000 0.0000

3.
# PaMn2NbH6 | the Alexandria database | PBE | relaxed
# VASP energy = -60.51 eV per formula unit
# Magnetization = 0.00 μB per cell
data_PaMn2NbH6
_chemical_formula_sum 'Pa3 Mn6 Nb3 H18'
_space_group_name_H-M_alt 'R -3 m'
_space_group_IT_number 166
_space_group_name_Hall '-R 3 2"'
_cell_length_a 4.3143
_cell_length_b 4.3143
_cell_length_c 15.7113
_cell_angle_alpha 90.00
_cell_angle_beta 90.00
_cell_angle_gamma 120.00
loop_
_atom_site_label
_atom_site_fract_x
_atom_site_fract_y
_atom_site_fract_z
Pa1 0.0000 0.0000 0.0000
Mn1 0.0000 0.0000 0.2123
Nb1 0.0000 0.0000 0.5000
H1 0.0237 0.5119 0.0603

4.
# Dy7Ho2Th | the Alexandria database | PBE | relaxed
# VASP energy = -41.54 eV per formula unit
# DFT formation energy = 0.72 eV/atom
# Magnetization = 0.01 μB per cell
# Distance to the lowest polymorph of the same formula = 3.94 eV per formula unit
data_Dy7Ho2Th
_chemical_formula_sum 'Dy14 Ho4 Th2'
_space_group_name_H-M_alt 'C m m m'
_space_group_IT_number 65
_space_group_name_Hall '-C 2 2'
_cell_length_a 8.6974
_cell_length_b 16.9811
_cell_length_c 5.2435
_cell_angle_alpha 90.00
_cell_angle_beta 90.00
_cell_angle_gamma 90.00
loop_
_atom_site_label
_atom_site_fract_x
_atom_site_fract_y
_atom_site_fract_z
Dy1 0.0000 0.0000 0.0000
Dy2 0.0000 0.3019 0.5000
Dy3 0.1778 0.3911 0.0000
Ho1 0.0000 0.2016 0.0000
Th1 0.0000 0.5000 0.5000